1.
Compound: Ta2NiGe
Source: Alexandria via LeMat-Bulk
Functional: PBE-GGA
Structure: optimized geometry

abc: 5.1586 3.6451 7.0794
angles: 90.00 110.02 90.00
Space group P2_1/m (No. 11)
Asymmetric unit:
Ta: 0.1868 0.2500 0.4269 (multiplicity 2)
Ta: 0.1974 0.2500 0.9184 (multiplicity 2)
Ni: 0.3443 0.7500 0.7075 (multiplicity 2)
Ge: 0.3515 0.7500 0.2136 (multiplicity 2)

Its calculated volume is 15.63 Å³ per atom. The total energy comes out at -8.836 eV per atom. Its energy relative to the elements is -0.310 eV/atom.

---

2.
Compound: ZnCd3H2Pd9
Source: Alexandria via LeMat-Bulk
Functional: PBE-GGA
Structure: optimized geometry

abc: 5.8171 5.8171 7.8041
angles: 90.00 90.00 120.00
Space group P-3m1 (No. 164)
Asymmetric unit:
Zn: 0.0000 0.0000 0.0000 (multiplicity 1)
Cd: 0.0000 0.0000 0.5000 (multiplicity 1)
Cd: 0.3333 0.6667 0.1451 (multiplicity 2)
H: 0.3333 0.6667 0.6155 (multiplicity 2)
Pd: 0.0000 0.5000 0.5000 (multiplicity 3)
Pd: 0.1754 0.3507 0.7930 (multiplicity 6)

Its calculated volume is 15.25 Å³ per atom. The total energy comes out at -4.043 eV per atom.

---

3.
Compound: Ti4PHC2
Source: Alexandria via LeMat-Bulk
Functional: PBE-GGA
Structure: optimized geometry

abc: 3.1847 10.4438 10.6904
angles: 90.00 90.00 90.00
Space group Cmcm (No. 63)
Asymmetric unit:
Ti: 0.0000 0.0000 0.0000 (multiplicity 4)
Ti: 0.0000 0.2661 0.1085 (multiplicity 8)
Ti: 0.0000 0.4333 0.7500 (multiplicity 4)
P: 0.0000 0.1082 0.7500 (multiplicity 4)
H: 0.0000 0.1624 0.2500 (multiplicity 4)
C: 0.0000 0.3652 0.5630 (multiplicity 8)

Its calculated volume is 11.11 Å³ per atom. The total energy comes out at -8.249 eV per atom.

---

4.
Compound: LaZnTc
Source: Alexandria via LeMat-Bulk
Functional: PBE-GGA
Structure: optimized geometry

abc: 12.1091 4.3733 5.4379
angles: 90.00 104.79 90.00
Space group C2/m (No. 12)
Asymmetric unit:
La: 0.1154 0.0000 0.3086 (multiplicity 4)
Zn: 0.0858 0.5000 0.7464 (multiplicity 4)
Tc: 0.2185 0.0000 0.9005 (multiplicity 4)

Its calculated volume is 23.20 Å³ per atom. The total energy comes out at -5.614 eV per atom. Its energy relative to the elements is -0.092 eV/atom. The energy above the lowest structure with this stoichiometry is 0 meV/atom.

---

- Which value of calculated volume does entry 2 give?
  15.25 Å³ per atom